No. 1
VASP calculation (PBE) on BaMgCd10 after structural relaxation.

Unit cell a=5.1656 b=5.6887 c=10.6742 alpha=90.00 beta=90.00 gamma=90.00
Element x y z (fractional)
Ba (0.0000, 0.5000, 0.5000)
Mg (0.0000, 0.0000, 0.0000)
Cd (0.0000, 0.0000, 0.2880)
Cd (0.0000, 0.5000, 0.8527)
Cd (0.0000, 0.5000, 0.1473)
Cd (0.0000, 0.0000, 0.7120)
Cd (0.5000, 0.0000, 0.5000)
Cd (0.5000, 0.5000, 0.0000)
Cd (0.5000, 0.2545, 0.2562)
Cd (0.5000, 0.7455, 0.7438)
Cd (0.5000, 0.7455, 0.2562)
Cd (0.5000, 0.2545, 0.7438)

***

No. 2
VASP calculation (PBE) on Nd2SmUP4 after structural relaxation.

Unit cell a=4.0733 b=7.0765 c=7.0864 alpha=109.18 beta=90.00 gamma=90.00
Element x y z (fractional)
Nd (0.5000, 0.0000, 0.5000)
Nd (0.0000, 0.5000, 0.5000)
Sm (0.0000, 0.0000, 0.0000)
U (0.5000, 0.5000, 0.0000)
P (0.5000, 0.2565, 0.2386)
P (0.5000, 0.7435, 0.7614)
P (0.0000, 0.2619, 0.7645)
P (0.0000, 0.7381, 0.2355)

***

No. 3
VASP calculation (PBE) on CsLiCa2Au after structural relaxation.

Unit cell a=5.8641 b=5.8641 c=5.7785 alpha=90.00 beta=90.00 gamma=90.00
Element x y z (fractional)
Cs (0.5000, 0.5000, 0.5000)
Ca (0.0000, 0.5000, 0.0000)
Ca (0.5000, 0.0000, 0.0000)
Au (0.0000, 0.0000, 0.0000)
Li (0.0000, 0.0000, 0.5000)

***

No. 4
VASP calculation (PBE) on GeAsSe2F after structural relaxation.

For the energy above the most stable polymorph in this dataset, the calculation gives 187 meV per atom. The uncorrected formation energy comes out at 0.45 eV/atom.

Unit cell a=4.9221 b=4.9221 c=5.0276 alpha=90.00 beta=90.00 gamma=90.00
Element x y z (fractional)
As (0.0000, 0.0000, 0.5000)
Ge (0.0000, 0.0000, 0.0000)
Se (0.0000, 0.5000, 0.0000)
Se (0.5000, 0.0000, 0.0000)
F (0.5000, 0.5000, 0.5000)

***

No. 5
VASP calculation (PBE) on UP2Au after structural relaxation.

For the energy above the most stable polymorph in this dataset, the calculation gives 253 meV per atom.

Unit cell a=4.1739 b=4.1739 c=7.5285 alpha=73.91 beta=73.91 gamma=60.00
Element x y z (fractional)
Au (0.0000, 0.0000, 0.0000)
U (0.5000, 0.5000, 0.5000)
P (0.1087, 0.1087, 0.6738)
P (0.8913, 0.8913, 0.3262)

***

No. 6
VASP calculation (PBE) on PmNd4Tm8 after structural relaxation.

Unit cell a=11.0032 b=11.0033 c=7.7785 alpha=90.00 beta=135.01 gamma=120.00
Element x y z (fractional)
Pm (0.0000, 0.5000, 0.5000)
Nd (0.0000, 0.0000, 0.0000)
Nd (0.0000, 0.5000, 0.0000)
Nd (0.5000, 0.5000, 0.0000)
Nd (0.5000, 0.0000, 0.0000)
Tm (0.5210, 0.7605, 0.2815)
Tm (0.4790, 0.2395, 0.7185)
Tm (0.4794, 0.2397, 0.2398)
Tm (0.9999, 0.2396, 0.7602)
Tm (0.5206, 0.7603, 0.7602)
Tm (0.9999, 0.7603, 0.7602)
Tm (0.0001, 0.2397, 0.2398)
Tm (0.0001, 0.7604, 0.2398)

***

No. 7
VASP calculation (PBE) on KBiIrW2 after structural relaxation.

Unit cell a=4.7370 b=4.8356 c=4.7370 alpha=90.00 beta=90.00 gamma=90.00
Element x y z (fractional)
K (0.0000, 0.0000, 0.0000)
Ir (0.0000, 0.5000, 0.0000)
Bi (0.5000, 0.5000, 0.5000)
W (0.0000, 0.0000, 0.5000)
W (0.5000, 0.0000, 0.0000)

***

No. 8
VASP calculation (PBE) on SrCe3P4 after structural relaxation.

Unit cell a=4.1573 b=7.2127 c=7.2129 alpha=70.65 beta=90.00 gamma=90.00
Element x y z (fractional)
Sr (0.5000, 0.5001, 0.0000)
Ce (0.5000, 0.0001, 0.5000)
Ce (0.9999, 0.0001, 0.0000)
Ce (0.0000, 0.5001, 0.5000)
P (0.0000, 0.7678, 0.7324)
P (0.5000, 0.7576, 0.2574)
P (0.0000, 0.2325, 0.2676)
P (0.4999, 0.2426, 0.7426)

***

No. 9
VASP calculation (PBE) on ScGaAg2C after structural relaxation.

Unit cell a=5.2080 b=5.3903 c=5.2080 alpha=90.00 beta=90.00 gamma=90.00
Element x y z (fractional)
Sc (0.0000, 0.0000, 0.0000)
C (0.5000, 0.5000, 0.5000)
Ga (0.0000, 0.5000, 0.0000)
Ag (0.0000, 0.0000, 0.5000)
Ag (0.5000, 0.0000, 0.0000)

***

No. 10
VASP calculation (PBE) on K2Na4InPb2 after structural relaxation.

Unit cell a=5.7456 b=8.5815 c=8.5815 alpha=54.08 beta=73.69 gamma=73.69
Element x y z (fractional)
K (0.3439, 0.6358, 0.6358)
K (0.6561, 0.3642, 0.3642)
Na (0.1482, 0.6637, 0.0808)
Na (0.8518, 0.9192, 0.3363)
Na (0.8518, 0.3363, 0.9192)
Na (0.1482, 0.0808, 0.6637)
In (0.5000, 0.0000, 0.0000)
Pb (0.2866, 0.1977, 0.1977)
Pb (0.7134, 0.8023, 0.8023)

***

No. 11
VASP calculation (PBE) on Hf7Zn2N2 after structural relaxation.

The uncorrected formation energy comes out at -0.50 eV/atom.

Unit cell a=6.1042 b=5.7274 c=6.1042 alpha=84.79 beta=112.79 gamma=95.21
Element x y z (fractional)
Hf (0.9325, 0.2339, 0.5099)
Hf (0.5099, 0.7661, 0.9325)
Hf (0.0675, 0.7661, 0.4901)
Hf (0.4901, 0.2339, 0.0675)
Hf (0.0000, 0.0000, 0.0000)
Hf (0.5610, 0.7849, 0.4390)
Hf (0.4390, 0.2151, 0.5610)
Zn (0.8259, 0.5000, 0.8259)
Zn (0.1741, 0.5000, 0.1741)
N (0.7728, 0.9729, 0.2272)
N (0.2272, 0.0271, 0.7728)

***

No. 12
VASP calculation (PBE) on NpCr2RhS6 after structural relaxation.

The uncorrected formation energy comes out at -0.73 eV/atom.

Unit cell a=6.2199 b=6.2202 c=6.7181 alpha=62.42 beta=62.42 gamma=60.00
Element x y z (fractional)
Np (0.8145, 0.8145, 0.5566)
Cr (0.5157, 0.5157, 0.4529)
Cr (0.0063, 0.0062, 0.9812)
Rh (0.3240, 0.3241, 0.0278)
S (0.6016, 0.2438, 0.2384)
S (0.2439, 0.9162, 0.2383)
S (0.9162, 0.6016, 0.2383)
S (0.3724, 0.7246, 0.7605)
S (0.7246, 0.1425, 0.7605)
S (0.1426, 0.3724, 0.7605)

***

No. 13
VASP calculation (PBE) on TaIrW2 after structural relaxation.

For the energy above the most stable polymorph in this dataset, the calculation gives 167 meV per atom.

Unit cell a=2.8065 b=4.0054 c=5.8178 alpha=90.00 beta=90.00 gamma=90.00
Element x y z (fractional)
Ir (0.5000, 0.5000, 0.2500)
Ta (0.5000, 0.5000, 0.7500)
W (0.0000, 0.0000, 0.0113)
W (0.0000, 0.0000, 0.4887)

***

No. 14
VASP calculation (PBE) on Fe2AsRu after structural relaxation.

Unit cell a=4.4896 b=4.4896 c=4.4896 alpha=131.99 beta=131.99 gamma=70.25
Element x y z (fractional)
As (0.7500, 0.2500, 0.5000)
Fe (0.0000, 0.0000, 0.0000)
Fe (0.5000, 0.5000, 0.0000)
Ru (0.2500, 0.7500, 0.5000)

***

No. 15
VASP calculation (PBE) on MnZnCoH after structural relaxation.

Unit cell a=2.6249 b=2.6249 c=6.4899 alpha=78.33 beta=78.33 gamma=60.00
Element x y z (fractional)
Mn (0.0280, 0.0280, 0.9159)
Zn (0.8081, 0.8081, 0.5758)
Co (0.2519, 0.2519, 0.2442)
H (0.6378, 0.6378, 0.0865)

***

No. 16
VASP calculation (PBE) on BiAsBr2O after structural relaxation.

For the energy above the most stable polymorph in this dataset, the calculation gives 411 meV per atom. The uncorrected formation energy comes out at 0.75 eV/atom.

Unit cell a=5.6962 b=5.6962 c=5.7963 alpha=90.00 beta=90.00 gamma=90.00
Element x y z (fractional)
O (0.5000, 0.5000, 0.5000)
As (0.0000, 0.0000, 0.5000)
Bi (0.0000, 0.0000, 0.0000)
Br (0.0000, 0.5000, 0.0000)
Br (0.5000, 0.0000, 0.0000)

***

No. 17
VASP calculation (PBE) on Li6AcZn6 after structural relaxation.

For the energy above the most stable polymorph in this dataset, the calculation gives 67 meV per atom.

Unit cell a=4.9420 b=7.2526 c=7.2526 alpha=83.74 beta=70.08 gamma=70.08
Element x y z (fractional)
Li (0.0000, 0.5000, 0.0000)
Li (0.5000, 0.5000, 0.0000)
Li (0.0000, 0.0000, 0.5000)
Li (0.5000, 0.0000, 0.5000)
Li (0.5000, 0.7575, 0.2425)
Li (0.5000, 0.2425, 0.7575)
Ac (0.0000, 0.0000, 0.0000)
Zn (0.3598, 0.6402, 0.6402)
Zn (0.6402, 0.3598, 0.3598)
Zn (0.0000, 0.3595, 0.6405)
Zn (0.0000, 0.6405, 0.3595)
Zn (0.2630, 0.2370, 0.2370)
Zn (0.7370, 0.7630, 0.7630)

***

No. 18
VASP calculation (PBE) on BaLa2CdNi after structural relaxation.

For the energy above the most stable polymorph in this dataset, the calculation gives 0 meV per atom.

Unit cell a=5.5255 b=5.5255 c=5.3445 alpha=90.00 beta=90.00 gamma=90.00
Element x y z (fractional)
Ni (0.0000, 0.0000, 0.0000)
Cd (0.0000, 0.0000, 0.5000)
Ba (0.5000, 0.5000, 0.5000)
La (0.0000, 0.5000, 0.0000)
La (0.5000, 0.0000, 0.0000)

***

No. 19
VASP calculation (PBE) on Cs4RbU3S12 after structural relaxation.

The uncorrected formation energy comes out at -1.19 eV/atom.

Unit cell a=9.3555 b=9.3555 c=9.3555 alpha=109.47 beta=109.47 gamma=109.47
Element x y z (fractional)
Cs (0.5000, 0.5000, 0.5000)
Cs (0.0000, 0.0000, 0.5000)
Cs (0.5000, 0.0000, 0.0000)
Cs (0.0000, 0.5000, 0.0000)
Rb (0.0000, 0.0000, 0.0000)
U (0.5000, 0.0000, 0.5000)
U (0.5000, 0.5000, 0.0000)
U (0.0000, 0.5000, 0.5000)
S (0.2500, 0.5000, 0.7500)
S (0.7209, 0.0000, 0.7209)
S (0.2791, 0.0000, 0.2791)
S (0.7500, 0.5000, 0.2500)
S (0.7209, 0.7209, 0.0000)
S (0.2791, 0.2791, 0.0000)
S (0.7500, 0.2500, 0.5000)
S (0.2500, 0.7500, 0.5000)
S (0.5000, 0.2500, 0.7500)
S (0.0000, 0.7209, 0.7209)
S (0.5000, 0.7500, 0.2500)
S (0.0000, 0.2791, 0.2791)

***

No. 20
VASP calculation (PBE) on Pr2DyYTm2 after structural relaxation.

Unit cell a=5.6623 b=7.0476 c=9.8092 alpha=90.00 beta=90.00 gamma=90.00
Element x y z (fractional)
Pr (0.5000, 0.0075, 0.9999)
Pr (0.0000, 0.2575, 0.1763)
Pr (0.5000, 0.5075, 0.0001)
Pr (0.0000, 0.7575, 0.8237)
Dy (0.5000, 0.2577, 0.6599)
Dy (0.5000, 0.7577, 0.3401)
Y (0.0000, 0.0077, 0.5000)
Y (0.0000, 0.5077, 0.5000)
Tm (0.0000, 0.2575, 0.8353)
Tm (0.5000, 0.2577, 0.3333)
Tm (0.0000, 0.7575, 0.1647)
Tm (0.5000, 0.7577, 0.6667)

***

Calculated DFT total energy in order - -13.6, -58.4, -10.8, -15.9, -26.4, -52.7, -23.0, -52.1, -13.7, -18.4, -94.4, -71.6, -46.4, -30.2, -20.8, -13.1, -24.8, -18.9, -111.5, -58.3 eV/cell
Calculated size of the total moment in order - 0.00, 0.26, 0.00, 0.00, 0.25, 0.15, 0.35, 0.22, 0.26, 0.05, 0.00, 0.99, 0.00, 0.24, 0.65, 0.31, 0.00, 0.00, 0.00, 0.00 μB per atom
Calculated N(E_F) in order - 4.1, 7.4, 3.0, 5.3, 5.0, 21.7, 8.0, 13.9, 5.3, 4.6, 6.6, 8.4, 4.2, 5.1, 2.8, 9.7, 8.7, 5.8, 11.2, 19.0 states/eV/cell